No. 1
Entry from the Alexandria database: TbZn2Pd2 after structural relaxation (PBE).

abc: 3.8770 3.8770 6.7604
angles: 106.66 106.66 90.00
Fractional coordinates of all 5 atoms:
Pd 0.6091 0.6091 0.2181
Pd 0.3909 0.3909 0.7819
Zn 0.2500 0.7500 0.5000
Zn 0.7500 0.2500 0.5000
Tb 0.0000 0.0000 0.0000

Output
DFT formation energy in eV per atom: -0.624
Space-group type: No. 139
Offset from the most stable computed form in meV/atom: 12
Uncorrected energy in eV/atom: -4.137

---

No. 2
Entry from the Alexandria database: Tb2Zn16Pd after structural relaxation (PBE).

abc: 6.7898 6.7898 6.7898
angles: 82.76 82.76 82.76
Fractional coordinates of all 19 atoms:
Pd 0.9015 0.9015 0.9015
Zn 0.6487 0.1565 0.6487
Zn 0.7060 0.9984 0.2922
Zn 0.6487 0.6487 0.1565
Zn 0.9984 0.2922 0.7060
Zn 0.9979 0.9979 0.5026
Zn 0.2922 0.9984 0.7060
Zn 0.7060 0.2922 0.9984
Zn 0.9979 0.5026 0.9979
Zn 0.3546 0.3546 0.8366
Zn 0.1565 0.6487 0.6487
Zn 0.2922 0.7060 0.9984
Zn 0.8366 0.3546 0.3546
Zn 0.1035 0.1035 0.1035
Zn 0.5026 0.9979 0.9979
Zn 0.3546 0.8366 0.3546
Zn 0.9984 0.7060 0.2922
Tb 0.6659 0.6659 0.6659
Tb 0.3379 0.3379 0.3379

Output
DFT formation energy in eV per atom: -0.289
Space-group type: No. 160
Uncorrected energy in eV/atom: -2.123